1.
DFT (PBEsol) results for a relaxed structure of BaScCl2.

a = 3.7112 Å, b = 3.7112 Å, c = 8.3417 Å
α = 90.00°, β = 90.00°, γ = 90.00°
Site moments in Bohr magnetons follow the coordinates.
Fractional positions:
1 Cl 0.0000 0.0000 0.2955  0.00
2 Cl 0.0000 0.0000 0.7045  0.00
3 Sc 0.5000 0.5000 0.0000  0.84
4 Ba 0.5000 0.5000 0.5000  0.08

Results
total magnetization = 1.51 μB per cell
raw formation energy = -1.051 eV/atom
offset from the most stable computed form = 138 kJ/mol of formula units
E_tot = -4.244 eV per atom



2.
DFT (PBEsol) results for a relaxed structure of Zn2RuBr.

a = 3.0236 Å, b = 3.0236 Å, c = 8.3753 Å
α = 79.60°, β = 79.60°, γ = 60.00°
Fractional positions:
1 Zn 0.9963 0.9963 0.0110
2 Zn 0.7432 0.7432 0.7703
3 Br 0.5090 0.5090 0.4729
4 Ru 0.2514 0.2514 0.2457

Results
total magnetization = 0.00 μB per cell
raw formation energy = 0.367 eV/atom
offset from the most stable computed form = 76 kJ/mol of formula units
E_tot = -3.435 eV per atom



3.
DFT (PBEsol) results for a relaxed structure of Li4Ni7O2F14.

a = 5.8003 Å, b = 5.8003 Å, c = 10.4511 Å
α = 90.46°, β = 106.38°, γ = 118.52°
Site moments in Bohr magnetons follow the coordinates.
Fractional positions:
1 Li 0.1341 0.5731 0.7072  0.00
2 Li 0.8683 0.9199 0.7882  0.00
3 Li 0.1317 0.0801 0.2118  0.00
4 Li 0.8659 0.4269 0.2928  0.00
5 Ni 0.5000 0.0000 0.5000  1.45
6 Ni 0.5012 0.2562 0.7574  1.65
7 Ni 0.5000 0.5000 0.5000  1.44
8 Ni 0.4988 0.7438 0.2426  1.65
9 Ni 0.0000 0.5000 0.0000  1.65
10 Ni 0.5000 0.0000 0.0000  1.65
11 Ni 0.0000 0.0000 0.5000  1.44
12 F 0.7476 0.1309 0.8786  0.13
13 F 0.2395 0.3928 0.1307  0.11
14 F 0.7395 0.6253 0.3648  0.13
15 F 0.7417 0.3670 0.6363  0.12
16 F 0.7379 0.8913 0.1307  0.11
17 F 0.2693 0.8946 0.6363  0.12
18 F 0.7307 0.1054 0.3637  0.12
19 F 0.2524 0.8691 0.1214  0.13
20 F 0.2621 0.1087 0.8693  0.11
21 F 0.2583 0.6330 0.3637  0.12
22 F 0.7444 0.3617 0.1061  0.10
23 F 0.2556 0.6383 0.8939  0.10
24 F 0.2605 0.3747 0.6352  0.13
25 F 0.7605 0.6072 0.8693  0.11
26 O 0.7288 0.8606 0.5894  0.14
27 O 0.2712 0.1394 0.4106  0.14

Results
total magnetization = 13.29 μB per cell
raw formation energy = -1.781 eV/atom
E_tot = -5.057 eV per atom



4.
DFT (PBEsol) results for a relaxed structure of Ga2HgTe4.

a = 6.0867 Å, b = 6.0867 Å, c = 7.3020 Å
α = 114.63°, β = 114.63°, γ = 90.00°
Fractional positions:
1 Te 0.1409 0.1047 0.7187
2 Te 0.8953 0.4222 0.2813
3 Te 0.3861 0.8591 0.2813
4 Te 0.5778 0.6139 0.7187
5 Ga 0.7500 0.2500 0.5000
6 Ga 0.5000 0.5000 0.0000
7 Hg 0.0000 0.0000 0.0000

Results
total magnetization = 0.00 μB per cell
raw formation energy = -0.263 eV/atom
offset from the most stable computed form = 0 kJ/mol of formula units
E_tot = -3.313 eV per atom



5.
DFT (PBEsol) results for a relaxed structure of FeRuF3.

a = 4.0766 Å, b = 4.0766 Å, c = 4.0766 Å
α = 90.00°, β = 90.00°, γ = 90.00°
Site moments in Bohr magnetons follow the coordinates.
Fractional positions:
1 Fe 0.5000 0.5000 0.5000  3.25
2 Ru 0.0000 0.0000 0.0000  0.78
3 F 0.5000 0.0000 0.0000  0.04
4 F 0.0000 0.0000 0.5000  0.04
5 F 0.0000 0.5000 0.0000  0.04

Results
total magnetization = 4.43 μB per cell
raw formation energy = -0.283 eV/atom
E_tot = -5.266 eV per atom



6.
DFT (PBEsol) results for a relaxed structure of LiHo3Ge2O8F2.

a = 5.0337 Å, b = 9.0757 Å, c = 9.1645 Å
α = 78.39°, β = 74.06°, γ = 73.90°
Fractional positions:
1 Li 0.5000 0.0000 0.5000
2 Li 0.0000 0.5000 0.0000
3 F 0.3368 0.4724 0.6677
4 F 0.5230 0.9724 0.1677
5 F 0.4770 0.0276 0.8323
6 F 0.6632 0.5276 0.3323
7 O 0.1359 0.2153 0.3265
8 O 0.0444 0.6377 0.4280
9 O 0.9556 0.3623 0.5720
10 O 0.2268 0.5526 0.1331
11 O 0.8899 0.1377 0.9280
12 O 0.1101 0.8623 0.0720
13 O 0.5488 0.2114 0.5243
14 O 0.9125 0.9474 0.3669
15 O 0.4512 0.7886 0.4757
16 O 0.3223 0.7153 0.8265
17 O 0.8641 0.7847 0.6735
18 O 0.6777 0.2847 0.1735
19 O 0.2845 0.2886 0.9757
20 O 0.7732 0.4474 0.8669
21 O 0.7155 0.7114 0.0243
22 O 0.0875 0.0526 0.6331
23 Ho 0.9146 0.9070 0.8517
24 Ho 0.3266 0.4070 0.3517
25 Ho 0.7907 0.7500 0.2500
26 Ho 0.6734 0.5930 0.6483
27 Ho 0.0854 0.0930 0.1483
28 Ho 0.2093 0.2500 0.7500
29 Ge 0.6152 0.3024 0.9916
30 Ge 0.9092 0.1976 0.5084
31 Ge 0.0908 0.8024 0.4916
32 Ge 0.3848 0.6976 0.0084

Results
total magnetization = 0.00 μB per cell
raw formation energy = -2.954 eV/atom
E_tot = -7.488 eV per atom



7.
DFT (PBEsol) results for a relaxed structure of AgPb.

a = 3.3575 Å, b = 5.1494 Å, c = 6.0976 Å
α = 114.98°, β = 105.98°, γ = 90.00°
Fractional positions:
1 Pb 0.3917 0.1417 0.7834
2 Pb 0.6083 0.8583 0.2166
3 Ag 0.8567 0.6067 0.7133
4 Ag 0.1433 0.3933 0.2867

Results
total magnetization = 0.00 μB per cell
E_tot = -3.541 eV per atom



8.
DFT (PBEsol) results for a relaxed structure of ZrMnNi6.

a = 6.2383 Å, b = 6.2383 Å, c = 10.2113 Å
α = 90.00°, β = 90.00°, γ = 109.76°
Site moments in Bohr magnetons follow the coordinates.
Fractional positions:
1 Ni 0.1348 0.3802 0.3698  0.09
2 Ni 0.0000 0.0000 0.5000  0.00
3 Ni 0.1348 0.3802 0.6302  0.09
4 Ni 0.8695 0.6149 0.1203  0.30
5 Ni 0.6198 0.8652 0.6302  0.09
6 Ni 0.6149 0.8695 0.8797  0.30
7 Ni 0.1305 0.3851 0.8797  0.30
8 Ni 0.6149 0.8695 0.1203  0.30
9 Ni 0.7463 0.2537 0.7574  0.21
10 Ni 0.3851 0.1305 0.1203  0.30
11 Ni 0.8652 0.6198 0.3698  0.09
12 Ni 0.7463 0.2537 0.2426  0.21
13 Ni 0.0000 0.0000 0.0000  0.22
14 Ni 0.5000 0.5000 0.0000  0.39
15 Ni 0.5000 0.5000 0.5000  0.07
16 Ni 0.1305 0.3851 0.1203  0.30
17 Ni 0.2537 0.7463 0.2426  0.21
18 Ni 0.6198 0.8652 0.3698  0.09
19 Ni 0.8652 0.6198 0.6302  0.09
20 Ni 0.3802 0.1348 0.6302  0.09
21 Ni 0.8695 0.6149 0.8797  0.30
22 Ni 0.3851 0.1305 0.8797  0.30
23 Ni 0.2537 0.7463 0.7574  0.21
24 Ni 0.3802 0.1348 0.3698  0.09
25 Zr 0.0000 0.0000 0.7547  -0.08
26 Zr 0.7533 0.2467 0.5000  -0.04
27 Zr 0.0000 0.0000 0.2453  -0.08
28 Zr 0.2467 0.7533 0.5000  -0.04
29 Mn 0.5000 0.5000 0.2444  3.19
30 Mn 0.7573 0.2427 0.0000  3.20
31 Mn 0.2427 0.7573 0.0000  3.20
32 Mn 0.5000 0.5000 0.7556  3.19

Results
total magnetization = 16.93 μB per cell
E_tot = -7.214 eV per atom



9.
DFT (PBEsol) results for a relaxed structure of TaSi2.

a = 4.7563 Å, b = 4.7563 Å, c = 6.5652 Å
α = 90.00°, β = 90.00°, γ = 120.00°
Fractional positions:
1 Si 0.1595 0.3191 0.1667
2 Si 0.8405 0.1595 0.5000
3 Si 0.8405 0.6809 0.1667
4 Si 0.1595 0.8405 0.5000
5 Si 0.6809 0.8405 0.8333
6 Si 0.3191 0.1595 0.8333
7 Ta 0.0000 0.5000 0.8333
8 Ta 0.5000 0.5000 0.5000
9 Ta 0.5000 0.0000 0.1667

Results
total magnetization = 0.00 μB per cell
raw formation energy = -0.580 eV/atom
E_tot = -8.595 eV per atom



10.
DFT (PBEsol) results for a relaxed structure of KNa2Sr.

a = 6.4567 Å, b = 6.4567 Å, c = 6.4567 Å
α = 60.00°, β = 60.00°, γ = 60.00°
Fractional positions:
1 Sr 0.5000 0.5000 0.5000
2 K 0.0000 0.0000 0.0000
3 Na 0.2500 0.2500 0.2500
4 Na 0.7500 0.7500 0.7500

Results
total magnetization = 0.00 μB per cell
offset from the most stable computed form = 0 kJ/mol of formula units
E_tot = -1.374 eV per atom